1.
First-principles (meta-GGA SCAN) data for ErCl3 at its PBEsol-relaxed geometry, as listed in Alexandria.

Structure (POSCAR):
```
ErCl3
1.0
9.4758 0.0000 0.0000
-4.7379 8.2063 0.0000
0.0000 0.0000 3.5006
Er Cl
2 6
Cartesian
0.0000 5.4709 0.8752 Er
4.7379 2.7354 2.6255 Er
0.0000 3.5354 2.6255 Cl
-1.6761 6.4386 2.6255 Cl
3.0618 1.7677 0.8752 Cl
1.6761 6.4386 2.6255 Cl
6.4140 1.7677 0.8752 Cl
4.7379 4.6709 0.8752 Cl
```

- raw formation energy (eV/atom) = -2.4212
- total DFT energy (no corrections) (eV/cell) = -167.92
- calculated volume (Å³ per atom) = 34.03
- crystal system = hexagonal

=====

2.
First-principles (meta-GGA SCAN) data for La5Zn3 at its PBEsol-relaxed geometry, as listed in Alexandria.

Structure (POSCAR):
```
La5Zn3
1.0
7.8179 0.0000 0.0000
0.0000 10.4537 0.0000
0.0000 0.0000 5.2544
La Zn
10 6
Cartesian
0.0000 0.0000 0.0000 La
1.6065 5.2269 2.6272 La
1.9545 2.6134 0.0000 La
1.9545 7.8403 0.0000 La
2.3024 0.0000 2.6272 La
3.9090 5.2269 0.0000 La
5.5155 0.0000 2.6272 La
5.8634 2.6134 0.0000 La
5.8634 7.8403 0.0000 La
6.2114 5.2269 2.6272 La
0.0000 2.3271 2.6272 Zn
0.0000 5.2269 0.0000 Zn
0.0000 8.1267 2.6272 Zn
3.9090 0.0000 0.0000 Zn
3.9090 2.8998 2.6272 Zn
3.9090 7.5539 2.6272 Zn
```

- DFT formation energy (eV/atom) = -0.192
- total DFT energy (no corrections) (eV/cell) = -515.21
- calculated volume (Å³ per atom) = 26.84
- relative energy among the computed polymorphs (meV per atom) = 53
- crystal system = orthorhombic

=====

3.
First-principles (meta-GGA SCAN) data for Nd2Co19Si3 at its PBEsol-relaxed geometry, as listed in Alexandria.

Structure (POSCAR):
```
Nd2Co19Si3
1.0
5.6881 -4.8059 0.0000
5.6881 4.8059 0.0000
-3.3572 0.0000 5.2209
Nd Co Si
2 19 3
Cartesian
1.5620 0.0000 1.9488 Nd
6.4569 0.0000 3.2722 Nd
-1.6786 0.0000 2.6105 Co
2.7874 2.8229 2.2919 Co
4.7139 3.5982 0.7405 Co
1.5403 1.9683 4.2242 Co
3.3050 3.5982 4.4804 Co
-0.1237 0.0000 4.5598 Co
4.2761 1.1946 1.4165 Co
5.2315 2.8229 2.9290 Co
3.7428 1.1946 3.8044 Co
6.4785 1.9683 0.9968 Co
1.5403 -1.9683 4.2242 Co
4.2761 -1.1946 1.4165 Co
2.7874 -2.8229 2.2919 Co
3.7428 -1.1946 3.8044 Co
8.1426 0.0000 0.6611 Co
4.7139 -3.5982 0.7405 Co
6.4785 -1.9683 0.9968 Co
3.3050 -3.5982 4.4804 Co
5.2315 -2.8229 2.9290 Co
2.8440 2.4030 0.0000 Si
2.8440 -2.4030 0.0000 Si
5.6881 0.0000 0.0000 Si
```

- raw formation energy (eV/atom) = -0.1339
- total DFT energy (no corrections) (eV/cell) = -449.21
- calculated volume (Å³ per atom) = 11.89
- crystal system = monoclinic

=====

4.
First-principles (meta-GGA SCAN) data for BeP2Se at its PBEsol-relaxed geometry, as listed in Alexandria.

Structure (POSCAR):
```
BeP2Se
1.0
3.1804 0.0000 0.0000
0.0000 5.0600 0.0000
0.0000 0.0000 8.2106
Be P Se
2 4 2
Cartesian
0.0000 0.0000 0.0000 Be
1.5902 2.5300 0.0000 Be
0.0000 0.0000 3.4508 P
0.0000 2.5300 1.8379 P
1.5902 0.0000 1.8379 P
1.5902 2.5300 3.4508 P
0.0000 2.5300 6.6969 Se
1.5902 0.0000 6.6969 Se
```

- raw formation energy (eV/atom) = 0.4657
- total DFT energy (no corrections) (eV/cell) = -86.73
- calculated volume (Å³ per atom) = 16.52
- relative energy among the computed polymorphs (meV per atom) = 196
- crystal system = orthorhombic